# PBE Np2U3PaN6, relaxed
data_Np2U3PaN6
_symmetry_space_group_name_H-M 'P 1'
_symmetry_Int_Tables_number 1
_cell_length_a 5.9881
_cell_length_b 5.9881
_cell_length_c 5.9628
_cell_angle_alpha 99.65
_cell_angle_beta 99.65
_cell_angle_gamma 119.99
loop_
_symmetry_equiv_pos_as_xyz
'x,y,z'
loop_
_atom_site_label
_atom_site_type_symbol
_atom_site_fract_x
_atom_site_fract_y
_atom_site_fract_z
_atom_site_occupancy
Np1 Np 0.3337 0.6663 0.0000 1
Np2 Np 0.6663 0.3337 0.0000 1
U1 U 0.1678 0.8322 0.5000 1
U2 U 0.8322 0.1678 0.5000 1
U3 U 0.5000 0.5000 0.5000 1
Pa1 Pa 0.0000 0.0000 0.0000 1
N1 N 0.9147 0.5823 0.7435 1
N2 N 0.7536 0.7536 0.2571 1
N3 N 0.0853 0.4177 0.2565 1
N4 N 0.5823 0.9147 0.7435 1
N5 N 0.2464 0.2464 0.7429 1
N6 N 0.4177 0.0853 0.2565 1
# N(E_F) in states/eV/cell: 19.2
# Final energy in eV per atom: -11.239
# Magnetization in μB per formula unit: 9.61
# Uncorrected formation energy in meV/atom: -1306
# Space group: C2/m (12)